VASP calculation (PBE-GGA) on crystalline La2Ge6Rh at its relaxed geometry.

SG: No. 164
Energy of formation, eV/atom: -0.60
M_tot, μB per atom: 0.000

POSCAR file:
```
La2Ge6Rh
1.0
5.4605 -0.0291 -0.0168
0.0335 6.2167 0.0060
0.0335 3.1024 5.3872
La Ge Rh
2 6 1
Cartesian
4.5339 6.1889 3.5817 La
0.9937 3.1011 1.7947 La
1.7662 4.7322 4.4376 Ge
1.7828 7.6731 4.4406 Ge
1.7662 6.2053 1.8922 Ge
3.7614 4.5578 0.9388 Ge
3.7448 1.6169 0.9358 Ge
3.7614 3.0848 3.4842 Ge
0.0000 0.0000 0.0000 Rh
```